A plane-wave DFT calculation with GGA-PBE was carried out for a relaxed LiAg2TeSe4 crystal.

Total energy: -52.9 eV/cell
Formation energy from raw total energies: -0.220 eV per atom

Unit cell a=8.0141 b=8.0141 c=7.8564 alpha=119.35 beta=119.35 gamma=91.50
Element x y z (fractional)
Se (0.2661, 0.7687, 0.0174)
Se (0.7718, 0.7282, 0.4932)
Te (0.0000, 0.0000, 0.0000)
Li (0.0000, 0.5000, 0.5000)
Ag (0.5000, 0.5000, 0.0000)
Ag (0.5000, 0.0000, 0.0000)
Ag (0.0000, 0.0000, 0.5000)
Se (0.7718, 0.7282, 0.0068)
Se (0.7339, 0.2313, 0.9826)
Ag (0.5000, 0.0000, 0.5000)
Se (0.2282, 0.2718, 0.5068)
Li (0.0000, 0.5000, 0.0000)
Te (0.5000, 0.5000, 0.5000)
Se (0.2282, 0.2718, 0.9932)
Se (0.2687, 0.7661, 0.5174)
Se (0.7313, 0.2339, 0.4826)


A plane-wave DFT calculation with GGA-PBE was carried out for a relaxed NbAlTeI2 crystal.

Energy relative to the lowest polymorph listed for this composition: 10.97 kcal/mol of atoms
Total energy: -16.6 eV/cell
Formation energy from raw total energies: 0.685 eV per atom

Unit cell a=5.3954 b=5.3954 c=5.4892 alpha=90.00 beta=90.00 gamma=90.00
Site moments in Bohr magnetons follow the coordinates.
Element x y z (fractional)
Al (0.0000, 0.0000, 0.0000)  0.00
I (0.5000, 0.0000, 0.0000)  -0.04
Nb (0.5000, 0.5000, 0.5000)  2.80
Te (0.0000, 0.0000, 0.5000)  -0.14
I (0.0000, 0.5000, 0.0000)  -0.04


A plane-wave DFT calculation with GGA-PBE was carried out for a relaxed LiMg8Hg2 crystal.

Energy of formation: -103 kJ/mol of formula units
Total energy: -16.3 eV/cell

Unit cell a=4.6990 b=7.3739 c=7.9864 alpha=113.05 beta=107.11 gamma=90.00
Element x y z (fractional)
Mg (0.0337, 0.7442, 0.0674)
Mg (0.1594, 0.2207, 0.3188)
Mg (0.3975, 0.5478, 0.7950)
Hg (0.7915, 0.3329, 0.5830)
Mg (0.3276, 0.0864, 0.6553)
Mg (0.6724, 0.9136, 0.3447)
Hg (0.2085, 0.6671, 0.4170)
Mg (0.9663, 0.2558, 0.9326)
Mg (0.6025, 0.4522, 0.2050)
Mg (0.8406, 0.7793, 0.6812)
Li (0.5000, 0.0000, 0.0000)


A plane-wave DFT calculation with GGA-PBE was carried out for a relaxed BiSb2Te2 crystal.

Energy relative to the lowest polymorph listed for this composition: 2.05 kcal/mol of atoms
Total energy: -17.4 eV/cell
Formation energy from raw total energies: 0.196 eV per atom

Unit cell a=5.9669 b=5.9669 c=6.2952 alpha=61.71 beta=61.71 gamma=90.00
Element x y z (fractional)
Bi (0.0000, 0.0000, 0.0000)
Sb (0.3358, 0.3358, 0.3284)
Sb (0.6642, 0.6642, 0.6716)
Te (0.7500, 0.2500, 0.5000)
Te (0.2500, 0.7500, 0.5000)


- Which of these has the lowest total energy?
  LiAg2TeSe4